1.
RbPrO3 after structural relaxation. Source: OQMD, functional PBE-GGA.

a = 4.5788 Å, b = 4.5788 Å, c = 4.5875 Å
α = 90.00°, β = 90.00°, γ = 90.00°
With the nearest neighbours (Å) after each atom.
Positions (direct):
Pr: 0.5000 0.5000 0.5778  6 O 2.29
O: 0.5000 0.5000 0.0779  2 Pr 2.29
O: 0.5000 0.0000 0.5810  2 Pr 2.29
O: 0.0000 0.5000 0.5810  2 Pr 2.29
Rb: 0.0000 0.0000 0.0823  12 O 3.24-3.25

Output
The theoretical density is 4.74 g cm⁻³. The total energy is -5.8182 eV per atom. The calculation puts the volume at 19.2 Å³/atom.

2.
RbPrO3 after structural relaxation. Source: OQMD, functional PBE-GGA.

a = 6.2297 Å, b = 6.2297 Å, c = 6.2297 Å
α = 66.23°, β = 66.23°, γ = 66.23°
With the nearest neighbours (Å) after each atom.
Positions (direct):
O: 0.0751 0.7500 0.4249  1 Pr 2.21
O: 0.7500 0.4249 0.0751  1 Pr 2.21
Rb: 0.5000 0.5000 0.5000  6 O 2.60
O: 0.2500 0.5751 0.9249  1 Pr 2.21
O: 0.4249 0.0751 0.7500  1 Pr 2.21
Pr: 0.2500 0.2500 0.2500  3 O 2.21
Rb: 0.0000 0.0000 0.0000  6 O 2.60
Pr: 0.7500 0.7500 0.7500  3 O 2.21
O: 0.9249 0.2500 0.5751  1 Pr 2.21
O: 0.5751 0.9249 0.2500  1 Pr 2.21

Output
The theoretical density is 4.70 g cm⁻³. The total energy is -5.4102 eV per atom. The calculation puts the volume at 19.4 Å³/atom.

3.
RbPrO2 after structural relaxation. Source: OQMD, functional PBE-GGA.

a = 6.8124 Å, b = 6.8124 Å, c = 6.8124 Å
α = 31.28°, β = 31.28°, γ = 31.28°
With the nearest neighbours (Å) after each atom.
Positions (direct):
O: 0.2287 0.2287 0.2287  3 Pr 2.44
Rb: 0.0000 0.0000 0.0000  6 O 2.94
Pr: 0.5000 0.5000 0.5000  6 O 2.44
O: 0.7713 0.7713 0.7713  3 Pr 2.44

Output
The theoretical density is 5.67 g cm⁻³. The total energy is -6.4345 eV per atom. The calculation puts the volume at 18.9 Å³/atom.

4.
RbPrO3 after structural relaxation. Source: OQMD, functional PBE-GGA.

a = 6.5052 Å, b = 6.5757 Å, c = 9.1580 Å
α = 90.00°, β = 90.00°, γ = 90.00°
With the nearest neighbours (Å) after each atom.
Positions (direct):
O: 0.7395 0.2612 0.3323  1 O 1.51
Pr: 0.4873 0.5200 0.2500  6 O 2.25-2.50
O: 0.2605 0.7803 0.2500  2 Pr 2.25-2.26
Rb: 0.5000 0.0000 0.0000  4 O 2.77-2.78
O: 0.2605 0.7388 0.6677  1 O 1.51
O: 0.2605 0.7388 0.8323  1 O 1.51
O: 0.2395 0.2388 0.8323  1 O 1.51
Pr: 0.0127 0.0200 0.2500  6 O 2.25-2.50
O: 0.7395 0.2197 0.7500  2 Pr 2.25-2.26
Rb: 0.0000 0.5000 0.0000  4 O 2.77-2.78
O: 0.2395 0.2388 0.6677  1 O 1.51
Rb: 0.5000 0.0000 0.5000  4 O 2.77-2.78
O: 0.7605 0.7612 0.1677  1 O 1.51
O: 0.7605 0.7197 0.7500  2 Pr 2.25-2.26
O: 0.2395 0.2803 0.2500  2 Pr 2.25-2.26
O: 0.7395 0.2612 0.1677  1 O 1.51
O: 0.7605 0.7612 0.3323  1 O 1.51
Pr: 0.9873 0.9800 0.7500  6 O 2.25-2.50
Rb: 0.0000 0.5000 0.5000  4 O 2.77-2.78
Pr: 0.5127 0.4800 0.7500  6 O 2.25-2.50

Output
The theoretical density is 4.65 g cm⁻³. The total energy is -5.9230 eV per atom. The calculation puts the volume at 19.6 Å³/atom.

5.
RbPrO3 after structural relaxation. Source: OQMD, functional PBE-GGA.

a = 6.5162 Å, b = 6.5391 Å, c = 9.2392 Å
α = 90.00°, β = 90.00°, γ = 90.00°
With the nearest neighbours (Å) after each atom.
Positions (direct):
Rb: 0.5012 0.5028 0.2500  12 O 3.10-3.44
Pr: 0.0000 0.5000 0.0000  6 O 2.31
O: 0.2641 0.7361 0.5114  2 Pr 2.31
Rb: 0.9988 0.0028 0.2500  12 O 3.10-3.44
O: 0.9782 0.5033 0.7500  2 Pr 2.31
O: 0.7641 0.7639 0.4886  2 Pr 2.31
Rb: 0.0012 0.9972 0.7500  12 O 3.10-3.44
O: 0.7641 0.7639 0.0114  2 Pr 2.31
O: 0.7359 0.2639 0.0114  2 Pr 2.31
O: 0.2359 0.2361 0.9886  2 Pr 2.31
O: 0.2641 0.7361 0.9886  2 Pr 2.31
Pr: 0.5000 0.0000 0.5000  6 O 2.31
Pr: 0.5000 0.0000 0.0000  6 O 2.31
O: 0.5218 0.0033 0.7500  2 Pr 2.31
O: 0.4782 0.9967 0.2500  2 Pr 2.31
Rb: 0.4988 0.4972 0.7500  12 O 3.10-3.44
O: 0.7359 0.2639 0.4886  2 Pr 2.31
Pr: 0.0000 0.5000 0.5000  6 O 2.31
O: 0.0218 0.4967 0.2500  2 Pr 2.31
O: 0.2359 0.2361 0.5114  2 Pr 2.31

Output
The theoretical density is 4.63 g cm⁻³. The total energy is -5.8308 eV per atom. The calculation puts the volume at 19.7 Å³/atom.

6.
RbPrO3 after structural relaxation. Source: OQMD, functional PBE-GGA.

a = 6.7029 Å, b = 6.7029 Å, c = 6.5598 Å
α = 59.28°, β = 59.28°, γ = 60.00°
With the nearest neighbours (Å) after each atom.
Positions (direct):
Rb: 0.1196 0.1196 0.6413  6 O 2.92
Pr: 0.3534 0.3534 0.9399  6 O 2.32-2.35
O: 0.4951 0.3335 0.2146  2 Pr 2.32-2.35, 1 O 2.54
Rb: 0.8804 0.8804 0.3587  6 O 2.92
O: 0.5049 0.6665 0.7854  2 Pr 2.32-2.35, 1 O 2.54
Pr: 0.6466 0.6466 0.0601  6 O 2.32-2.35
O: 0.0432 0.5049 0.7854  2 Pr 2.32-2.35, 1 O 2.54
O: 0.6665 0.0432 0.7854  2 Pr 2.32-2.35, 1 O 2.54
O: 0.9568 0.4951 0.2146  2 Pr 2.32-2.35, 1 O 2.54
O: 0.3335 0.9568 0.2146  2 Pr 2.32-2.35, 1 O 2.54

Output
The theoretical density is 4.42 g cm⁻³. The total energy is -5.8198 eV per atom. The calculation puts the volume at 20.6 Å³/atom.

7.
RbPrO3 after structural relaxation. Source: OQMD, functional PBE-GGA.

a = 3.6340 Å, b = 3.6340 Å, c = 6.6090 Å
α = 90.00°, β = 90.00°, γ = 90.00°
With the nearest neighbours (Å) after each atom.
Positions (direct):
O: 0.0000 0.5000 0.7243  2 Pr 2.33, 4 O 2.57, 2 Rb 2.59
Rb: 0.5000 0.5000 0.4453  5 O 2.54-2.59
Pr: 0.0000 0.0000 0.9455  4 O 2.33
O: 0.5000 0.5000 0.0606  1 Rb 2.54, 4 Pr 2.68
O: 0.5000 0.0000 0.7243  2 Pr 2.33, 4 O 2.57, 2 Rb 2.59

Output
The theoretical density is 5.22 g cm⁻³. The total energy is -5.6255 eV per atom. The calculation puts the volume at 17.5 Å³/atom.

8.
Rb2PrO4 after structural relaxation. Source: OQMD, functional PBE-GGA.

a = 7.6912 Å, b = 7.6912 Å, c = 7.6912 Å
α = 120.08°, β = 89.86°, γ = 120.08°
With the nearest neighbours (Å) after each atom.
Positions (direct):
O: 0.6462 0.7642 0.8820  1 Pr 2.22
O: 0.1180 0.2358 0.3538  1 Pr 2.22
O: 0.1180 0.7642 0.8822  1 Pr 2.22
Rb: 0.8750 0.2500 0.6250  6 O 2.80
O: 0.1178 0.2358 0.8820  1 Pr 2.22
O: 0.6322 0.2642 0.3680  1 Pr 2.22
Pr: 0.7500 0.5000 0.2500  4 O 2.22
Rb: 0.3750 0.2500 0.6250  6 O 2.80
O: 0.6320 0.2642 0.8962  1 Pr 2.22
O: 0.1038 0.7358 0.3680  1 Pr 2.22
Pr: 0.0000 0.0000 0.0000  4 O 2.22
Rb: 0.3750 0.7500 0.6250  6 O 2.80
O: 0.6320 0.7358 0.3678  1 Pr 2.22
Rb: 0.3750 0.7500 0.1250  6 O 2.80

Output
The theoretical density is 3.88 g cm⁻³. The total energy is -5.0025 eV per atom. The calculation puts the volume at 23.0 Å³/atom.

9.
RbPrO3 after structural relaxation. Source: OQMD, functional PBE-GGA.

a = 6.5174 Å, b = 6.5174 Å, c = 6.5174 Å
α = 60.08°, β = 60.08°, γ = 60.08°
With the nearest neighbours (Å) after each atom.
Positions (direct):
O: 0.2500 0.7180 0.7820  2 Pr 2.32
O: 0.2180 0.7500 0.2820  2 Pr 2.32
O: 0.2820 0.2180 0.7500  2 Pr 2.32
O: 0.7820 0.2500 0.7180  2 Pr 2.32
Pr: 0.5000 0.5000 0.5000  6 O 2.32
O: 0.7180 0.7820 0.2500  2 Pr 2.32
Pr: 0.0000 0.0000 0.0000  6 O 2.32
O: 0.7500 0.2820 0.2180  2 Pr 2.32
Rb: 0.7500 0.7500 0.7500  9 O 3.05-3.27
Rb: 0.2500 0.2500 0.2500  9 O 3.05-3.27

Output
The theoretical density is 4.65 g cm⁻³. The total energy is -5.8298 eV per atom. The calculation puts the volume at 19.6 Å³/atom.

10.
Rb2Pr2SO3 after structural relaxation. Source: OQMD, functional PBE-GGA.

a = 3.7754 Å, b = 3.7754 Å, c = 13.7019 Å
α = 90.00°, β = 90.00°, γ = 120.00°
With the nearest neighbours (Å) after each atom.
Positions (direct):
Rb: 0.6667 0.3333 0.2689  3 O 3.04, 3 S 3.15
Pr: 0.3333 0.6667 0.9738  3 O 2.44
Pr: 0.3333 0.6667 0.5051  6 O 2.45-2.50
O: 0.6667 0.3333 0.5941  3 Pr 2.50
Rb: 0.0000 0.0000 0.7374  6 O 2.93-3.06
O: 0.0000 0.0000 0.4236  3 Pr 2.45
O: 0.6667 0.3333 0.8939  3 Pr 2.44
S: 0.0000 0.0000 0.1032  3 Pr 2.81, 3 Rb 3.15

Output
The theoretical density is 5.23 g cm⁻³. The total energy is -6.0959 eV per atom. The calculation puts the volume at 21.1 Å³/atom.

11.
Rb2TbPrO4 after structural relaxation. Source: OQMD, functional PBE-GGA.

a = 3.5753 Å, b = 3.5753 Å, c = 12.9585 Å
α = 90.00°, β = 90.00°, γ = 120.00°
With the nearest neighbours (Å) after each atom.
Positions (direct):
O: 0.6667 0.3333 0.9038  3 Pr 2.41
Rb: 0.6667 0.3333 0.2540  6 O 2.91-2.92
O: 0.3333 0.6667 0.0962  3 Pr 2.41
Tb: 0.0000 0.0000 0.5000  6 O 2.35
O: 0.6667 0.3333 0.5868  3 Tb 2.35
O: 0.3333 0.6667 0.4132  3 Tb 2.35
Pr: 0.0000 0.0000 0.0000  6 O 2.41
Rb: 0.3333 0.6667 0.7460  6 O 2.91-2.92

Output
The theoretical density is 6.19 g cm⁻³. The total energy is -6.4801 eV per atom. The calculation puts the volume at 17.9 Å³/atom.

12.
RbPrTeO after structural relaxation. Source: OQMD, functional PBE-GGA.

a = 8.1663 Å, b = 8.1663 Å, c = 8.1663 Å
α = 28.81°, β = 28.81°, γ = 28.81°
With the nearest neighbours (Å) after each atom.
Positions (direct):
Pr: 0.5203 0.5203 0.5203  3 O 2.52
Rb: 0.9900 0.9900 0.9900  3 O 3.28, 3 Te 3.44
O: 0.2259 0.2259 0.2259  3 Pr 2.52
Te: 0.7639 0.7639 0.7639  3 Pr 3.15, 3 Rb 3.44

Output
The theoretical density is 5.49 g cm⁻³. The total energy is -5.2369 eV per atom. The calculation puts the volume at 28.0 Å³/atom. Its excess energy over the best structure of this formula in the dataset is 0.97 eV per formula unit.